A geometry-optimized Y2Hg3Au3O12 structure, computed with PBE.

a = 11.3281 Å, b = 11.3281 Å, c = 11.3281 Å
α = 109.47°, β = 109.47°, γ = 109.47°
With the nearest neighbours (Å) after each atom.
Fractional coordinates of all 80 atoms:
Y: 0.0000 0.0000 0.0000  6 O 2.23
Y: 0.0000 0.0000 0.5000  6 O 2.23
Y: 0.0000 0.5000 0.0000  6 O 2.23
Y: 0.0000 0.5000 0.5000  6 O 2.23
Y: 0.5000 0.0000 0.0000  6 O 2.23
Y: 0.5000 0.0000 0.5000  6 O 2.23
Y: 0.5000 0.5000 0.0000  6 O 2.23
Y: 0.5000 0.5000 0.5000  6 O 2.23
Hg: 0.1250 0.7500 0.8750  4 O 2.28
Hg: 0.1250 0.8750 0.2500  4 O 2.28
Hg: 0.2500 0.1250 0.8750  4 O 2.28
Hg: 0.2500 0.6250 0.3750  4 O 2.28
Hg: 0.3750 0.2500 0.6250  4 O 2.28
Hg: 0.3750 0.6250 0.7500  4 O 2.28
Hg: 0.6250 0.3750 0.2500  4 O 2.28
Hg: 0.6250 0.7500 0.3750  4 O 2.28
Hg: 0.7500 0.3750 0.6250  4 O 2.28
Hg: 0.7500 0.8750 0.1250  4 O 2.28
Hg: 0.8750 0.1250 0.7500  4 O 2.28
Hg: 0.8750 0.2500 0.1250  4 O 2.28
Au: 0.1250 0.2500 0.3750  4 O 2.08
Au: 0.1250 0.3750 0.7500  4 O 2.08
Au: 0.2500 0.3750 0.1250  4 O 2.08
Au: 0.2500 0.8750 0.6250  4 O 2.08
Au: 0.3750 0.1250 0.2500  4 O 2.08
Au: 0.3750 0.7500 0.1250  4 O 2.08
Au: 0.6250 0.2500 0.8750  4 O 2.08
Au: 0.6250 0.8750 0.7500  4 O 2.08
Au: 0.7500 0.1250 0.3750  4 O 2.08
Au: 0.7500 0.6250 0.8750  4 O 2.08
Au: 0.8750 0.6250 0.2500  4 O 2.08
Au: 0.8750 0.7500 0.6250  4 O 2.08
O: 0.0443 0.6097 0.3762  1 Au 2.08, 1 Y 2.23, 1 Hg 2.28
O: 0.0443 0.9346 0.6681  1 Au 2.08, 1 Y 2.23, 1 Hg 2.28
O: 0.0654 0.2335 0.1097  1 Au 2.08, 1 Y 2.23, 1 Hg 2.28
O: 0.0654 0.3319 0.9557  1 Au 2.08, 1 Y 2.23, 1 Hg 2.28
O: 0.1097 0.0654 0.2335  1 Au 2.08, 1 Y 2.23, 1 Hg 2.28
O: 0.1097 0.5443 0.8762  1 Au 2.08, 1 Y 2.23, 1 Hg 2.28
O: 0.1238 0.7335 0.6681  1 Au 2.08, 1 Y 2.23, 1 Hg 2.28
O: 0.1238 0.8903 0.4557  1 Au 2.08, 1 Y 2.23, 1 Hg 2.28
O: 0.1681 0.2335 0.6238  1 Au 2.08, 1 Y 2.23, 1 Hg 2.28
O: 0.1681 0.4346 0.5443  1 Au 2.08, 1 Y 2.23, 1 Hg 2.28
O: 0.2335 0.1097 0.0654  1 Au 2.08, 1 Y 2.23, 1 Hg 2.28
O: 0.2335 0.6238 0.1681  1 Au 2.08, 1 Y 2.23, 1 Hg 2.28
O: 0.2665 0.3319 0.8762  1 Au 2.08, 1 Y 2.23, 1 Hg 2.28
O: 0.2665 0.4346 0.3903  1 Au 2.08, 1 Y 2.23, 1 Hg 2.28
O: 0.3319 0.8762 0.2665  1 Au 2.08, 1 Y 2.23, 1 Hg 2.28
O: 0.3319 0.9557 0.0654  1 Au 2.08, 1 Y 2.23, 1 Hg 2.28
O: 0.3762 0.0443 0.6097  1 Au 2.08, 1 Y 2.23, 1 Hg 2.28
O: 0.3762 0.8319 0.7665  1 Au 2.08, 1 Y 2.23, 1 Hg 2.28
O: 0.3903 0.2665 0.4346  1 Au 2.08, 1 Y 2.23, 1 Hg 2.28
O: 0.3903 0.6238 0.9557  1 Au 2.08, 1 Y 2.23, 1 Hg 2.28
O: 0.4346 0.3903 0.2665  1 Au 2.08, 1 Y 2.23, 1 Hg 2.28
O: 0.4346 0.5443 0.1681  1 Au 2.08, 1 Y 2.23, 1 Hg 2.28
O: 0.4557 0.1238 0.8903  1 Au 2.08, 1 Y 2.23, 1 Hg 2.28
O: 0.4557 0.8319 0.5654  1 Au 2.08, 1 Y 2.23, 1 Hg 2.28
O: 0.5443 0.1681 0.4346  1 Au 2.08, 1 Y 2.23, 1 Hg 2.28
O: 0.5443 0.8762 0.1097  1 Au 2.08, 1 Y 2.23, 1 Hg 2.28
O: 0.5654 0.4557 0.8319  1 Au 2.08, 1 Y 2.23, 1 Hg 2.28
O: 0.5654 0.6097 0.7335  1 Au 2.08, 1 Y 2.23, 1 Hg 2.28
O: 0.6097 0.3762 0.0443  1 Au 2.08, 1 Y 2.23, 1 Hg 2.28
O: 0.6097 0.7335 0.5654  1 Au 2.08, 1 Y 2.23, 1 Hg 2.28
O: 0.6238 0.1681 0.2335  1 Au 2.08, 1 Y 2.23, 1 Hg 2.28
O: 0.6238 0.9557 0.3903  1 Au 2.08, 1 Y 2.23, 1 Hg 2.28
O: 0.6681 0.0443 0.9346  1 Au 2.08, 1 Y 2.23, 1 Hg 2.28
O: 0.6681 0.1238 0.7335  1 Au 2.08, 1 Y 2.23, 1 Hg 2.28
O: 0.7335 0.5654 0.6097  1 Au 2.08, 1 Y 2.23, 1 Hg 2.28
O: 0.7335 0.6681 0.1238  1 Au 2.08, 1 Y 2.23, 1 Hg 2.28
O: 0.7665 0.3762 0.8319  1 Au 2.08, 1 Y 2.23, 1 Hg 2.28
O: 0.7665 0.8903 0.9346  1 Au 2.08, 1 Y 2.23, 1 Hg 2.28
O: 0.8319 0.5654 0.4557  1 Au 2.08, 1 Y 2.23, 1 Hg 2.28
O: 0.8319 0.7665 0.3762  1 Au 2.08, 1 Y 2.23, 1 Hg 2.28
O: 0.8762 0.1097 0.5443  1 Au 2.08, 1 Y 2.23, 1 Hg 2.28
O: 0.8762 0.2665 0.3319  1 Au 2.08, 1 Y 2.23, 1 Hg 2.28
O: 0.8903 0.4557 0.1238  1 Au 2.08, 1 Y 2.23, 1 Hg 2.28
O: 0.8903 0.9346 0.7665  1 Au 2.08, 1 Y 2.23, 1 Hg 2.28
O: 0.9346 0.6681 0.0443  1 Au 2.08, 1 Y 2.23, 1 Hg 2.28
O: 0.9346 0.7665 0.8903  1 Au 2.08, 1 Y 2.23, 1 Hg 2.28
O: 0.9557 0.0654 0.3319  1 Au 2.08, 1 Y 2.23, 1 Hg 2.28
O: 0.9557 0.3903 0.6238  1 Au 2.08, 1 Y 2.23, 1 Hg 2.28

Final energy (eV/atom): -4.6825
Symmetry: Ia-3d
M_tot (μB per cell): 12.01